# GGA+U CrInO2, relaxed
# - V: 13.2 Å³/atom
# - E: -98.825 eV per cell
# - Fermi-level density of states: 3.96 states/eV per cell
data_CrInO2
_chemical_formula_sum 'Cr4 In4 O8'
_space_group_name_H-M_alt 'I 41/a m d'
_space_group_IT_number 141
_cell_length_a 4.770
_cell_length_b 4.770
_cell_length_c 9.286
_cell_angle_alpha 90.00
_cell_angle_beta 90.00
_cell_angle_gamma 90.00
loop_
_space_group_symop_operation_xyz
'x,y,z'
'-x,-y,-z'
'-y+1/4,x+3/4,z+1/4'
'y+1/4,-x+3/4,-z+1/4'
'-x+1/2,-y,z+1/2'
'x+1/2,y,-z+1/2'
'y+1/4,-x+1/4,z+3/4'
'-y+1/4,x+1/4,-z+3/4'
'x,-y,-z'
'-x,y,z'
'-y+1/4,-x+1/4,-z+3/4'
'y+1/4,x+1/4,z+3/4'
'-x+1/2,y,-z+1/2'
'x+1/2,-y,z+1/2'
'y+1/4,x+3/4,-z+1/4'
'-y+1/4,-x+3/4,z+1/4'
'x+1/2,y+1/2,z+1/2'
'-x+1/2,-y+1/2,-z+1/2'
'-y+3/4,x+1/4,z+3/4'
'y+3/4,-x+1/4,-z+3/4'
'-x,-y+1/2,z'
'x,y+1/2,-z'
'y+3/4,-x+3/4,z+1/4'
'-y+3/4,x+3/4,-z+1/4'
'x+1/2,-y+1/2,-z+1/2'
'-x+1/2,y+1/2,z+1/2'
'-y+3/4,-x+3/4,-z+1/4'
'y+3/4,x+3/4,z+1/4'
'-x,y+1/2,-z'
'x,-y+1/2,z'
'y+3/4,x+1/4,-z+3/4'
'-y+3/4,-x+1/4,z+3/4'
loop_
_atom_site_label
_atom_site_type_symbol
_atom_site_fract_x
_atom_site_fract_y
_atom_site_fract_z
Cr1 Cr 0.000 0.250 0.375
In1 In 0.000 0.250 0.875
O1 O 0.000 0.250 0.148